[1]
Entry from Alexandria via LeMat-Bulk: a relaxed structure of KAl2PbCl8 (PBE-GGA).

Output
The value obtained for the total energy is -3.660 eV/atom. The volume comes out at 391 Å³/cell.

Cell lengths 6.591, 6.591, 11.057 Å; angles 72.66, 72.66, 60.00 degrees
Site moments in Bohr magnetons follow the coordinates.
Element x y z (fractional)
Cl 0.937 0.557 0.214  0.01
Cl 0.557 0.291 0.214  0.01
Cl 0.063 0.443 0.786  0.01
Al 0.240 0.240 0.281  0.00
Cl 0.709 0.063 0.786  0.01
Al 0.760 0.760 0.719  0.00
Cl 0.829 0.829 0.512  0.00
K 0.500 0.500 0.500  0.00
Cl 0.443 0.709 0.786  0.01
Cl 0.171 0.171 0.488  0.00
Cl 0.291 0.937 0.214  0.01
Pb 0.000 0.000 0.000  0.35

***

[2]
Entry from Alexandria via LeMat-Bulk: a relaxed structure of KAlPb2Cl (PBE-GGA).

Output
The value obtained for the total energy is -2.706 eV/atom. The volume comes out at 178 Å³/cell.

Cell lengths 5.665, 5.552, 5.665 Å; angles 90.00, 90.00, 90.00 degrees
Element x y z (fractional)
K 0.000 0.500 0.000
Pb 0.000 0.000 0.500
Al 0.500 0.500 0.500
Pb 0.500 0.000 0.000
Cl 0.000 0.000 0.000

***

What did the second record say?
Entry from Alexandria via LeMat-Bulk: a relaxed structure of KAlPb2Cl (PBE-GGA).

Output
The value obtained for the total energy is -2.706 eV/atom. The volume comes out at 178 Å³/cell.

Cell lengths 5.665, 5.552, 5.665 Å; angles 90.00, 90.00, 90.00 degrees
Element x y z (fractional)
K 0.000 0.500 0.000
Pb 0.000 0.000 0.500
Al 0.500 0.500 0.500
Pb 0.500 0.000 0.000
Cl 0.000 0.000 0.000

***

Copy entry 2 word for word.
Entry from Alexandria via LeMat-Bulk: a relaxed structure of KAlPb2Cl (PBE-GGA).

Output
The value obtained for the total energy is -2.706 eV/atom. The volume comes out at 178 Å³/cell.

Cell lengths 5.665, 5.552, 5.665 Å; angles 90.00, 90.00, 90.00 degrees
Element x y z (fractional)
K 0.000 0.500 0.000
Pb 0.000 0.000 0.500
Al 0.500 0.500 0.500
Pb 0.500 0.000 0.000
Cl 0.000 0.000 0.000